DFT (PBE-GGA) results for a geometry-optimized YMgBe structure.

Cell: 5.1965 5.1965 5.1965 Å, 144.12 129.10 63.84°
Fractional positions:
Y 0.0000 0.0000 0.0000
Mg 0.3285 0.3285 0.0000
Be 0.6552 0.6552 0.0000

Output
- space-group type = No. 44
- formation energy from the elements (eV/atom) = 0.347

DFT (PBE-GGA) results for a geometry-optimized YMgBe2 structure.

Cell: 3.9526 3.9526 12.7735 Å, 101.94 101.94 53.86°
Fractional positions:
Y 0.1646 0.1646 0.2981
Y 0.8354 0.8354 0.7019
Mg 0.3848 0.3848 0.0897
Mg 0.6152 0.6152 0.9103
Be 0.1342 0.1342 0.5451
Be 0.4324 0.4324 0.5591
Be 0.5676 0.5676 0.4409
Be 0.8658 0.8658 0.4549

Output
- space-group type = No. 12
- formation energy from the elements (eV/atom) = 0.059

DFT (PBE-GGA) results for a geometry-optimized YMgBe2 structure.

Cell: 4.5775 4.5775 3.4085 Å, 90.00 90.00 90.00°
Fractional positions:
Y 0.0000 0.0000 0.0000
Mg 0.5000 0.5000 0.0000
Be 0.0000 0.5000 0.5000
Be 0.5000 0.0000 0.5000

Output
- space-group type = No. 123
- formation energy from the elements (eV/atom) = 0.235

DFT (PBE-GGA) results for a geometry-optimized YMg2Be structure.

Cell: 4.2327 4.2327 4.8179 Å, 90.00 90.00 90.00°
Fractional positions:
Y 0.0000 0.0000 0.0000
Mg 0.0000 0.5000 0.5000
Mg 0.5000 0.0000 0.5000
Be 0.5000 0.5000 0.0000

Output
- space-group type = No. 123
- formation energy from the elements (eV/atom) = 0.150

DFT (PBE-GGA) results for a geometry-optimized Y2MgBe structure.

Cell: 9.5409 9.5409 9.5409 Å, 21.44 21.44 21.44°
Fractional positions:
Y 0.0000 0.0000 0.0000
Y 0.2266 0.2266 0.2266
Mg 0.7640 0.7640 0.7640
Be 0.4899 0.4899 0.4899

Output
- space-group type = No. 160
- formation energy from the elements (eV/atom) = 0.278

DFT (PBE-GGA) results for a geometry-optimized YMg3Be structure.

Cell: 6.0237 6.0237 6.0237 Å, 90.00 90.00 90.00°
Fractional positions:
Y 0.0000 0.0000 0.0000
Mg 0.0000 0.0000 0.5000
Mg 0.0000 0.5000 0.0000
Mg 0.5000 0.0000 0.0000
Be 0.5000 0.5000 0.5000

Output
- space-group type = No. 221
- formation energy from the elements (eV/atom) = 1.569

DFT (PBE-GGA) results for a geometry-optimized YMgBe structure.

Cell: 12.4280 4.2402 7.1626 Å, 90.00 90.00 90.00°
Fractional positions:
Y 0.0422 0.0000 0.2282
Y 0.2500 0.0000 0.8614
Y 0.4578 0.0000 0.2282
Y 0.5422 0.0000 0.7718
Y 0.7500 0.0000 0.1386
Y 0.9578 0.0000 0.7718
Mg 0.1260 0.5000 0.5705
Mg 0.2500 0.5000 0.2042
Mg 0.3740 0.5000 0.5705
Mg 0.6260 0.5000 0.4295
Mg 0.7500 0.5000 0.7958
Mg 0.8740 0.5000 0.4295
Be 0.0840 0.5000 0.9516
Be 0.2500 0.0000 0.4437
Be 0.4160 0.5000 0.9516
Be 0.5840 0.5000 0.0484
Be 0.7500 0.0000 0.5563
Be 0.9160 0.5000 0.0484

Output
- space-group type = No. 51
- formation energy from the elements (eV/atom) = -0.001

DFT (PBE-GGA) results for a geometry-optimized Y2MgBe structure.

Cell: 5.1063 5.1063 5.1063 Å, 60.00 60.00 60.00°
Fractional positions:
Y 0.2500 0.2500 0.2500
Y 0.7500 0.7500 0.7500
Mg 0.0000 0.0000 0.0000
Be 0.5000 0.5000 0.5000

Output
- space-group type = No. 225
- formation energy from the elements (eV/atom) = 0.069

DFT (PBE-GGA) results for a geometry-optimized YMgBeZn structure.

Cell: 4.7126 4.7126 4.7126 Å, 60.00 60.00 60.00°
Fractional positions:
Y 0.0000 0.0000 0.0000
Mg 0.5000 0.5000 0.5000
Be 0.7500 0.7500 0.7500
Zn 0.2500 0.2500 0.2500

Output
- space-group type = No. 216
- formation energy from the elements (eV/atom) = -0.107

DFT (PBE-GGA) results for a geometry-optimized Mg2BeZn structure.

Cell: 2.9402 2.9402 7.6262 Å, 90.00 90.00 90.00°
Fractional positions:
Mg 0.0000 0.0000 0.0000
Mg 0.5000 0.5000 0.3271
Be 0.5000 0.5000 0.7641
Zn 0.0000 0.0000 0.5960

Output
- space-group type = No. 99
- formation energy from the elements (eV/atom) = 0.143

DFT (PBE-GGA) results for a geometry-optimized Mg2BeZn structure.

Cell: 5.5073 5.5073 5.5073 Å, 148.21 130.89 59.69°
Fractional positions:
Mg 0.0000 0.0000 0.0000
Mg 0.7096 0.2096 0.5000
Be 0.2410 0.7410 0.5000
Zn 0.4340 0.4340 0.0000

Output
- space-group type = No. 44
- formation energy from the elements (eV/atom) = 0.161

DFT (PBE-GGA) results for a geometry-optimized Mg2BeZn structure.

Cell: 4.4171 4.4171 3.3575 Å, 90.00 90.00 93.38°
Fractional positions:
Mg 0.0000 0.5000 0.0000
Mg 0.5000 0.0000 0.0000
Be 0.0000 0.0000 0.5000
Zn 0.5000 0.5000 0.5000

Output
- space-group type = No. 65
- formation energy from the elements (eV/atom) = 0.179

DFT (PBE-GGA) results for a geometry-optimized MgBeZn structure.

Cell: 4.1143 4.1143 4.1143 Å, 60.00 60.00 60.00°
Fractional positions:
Mg 0.0000 0.0000 0.0000
Be 0.2500 0.2500 0.2500
Zn 0.5000 0.5000 0.5000

Output
- space-group type = No. 216
- formation energy from the elements (eV/atom) = 0.281

DFT (PBE-GGA) results for a geometry-optimized MgBeZn structure.

Cell: 5.3668 5.3668 5.3668 Å, 147.98 147.98 45.92°
Fractional positions:
Mg 0.0000 0.0000 0.0000
Be 0.6777 0.6777 0.0000
Zn 0.2982 0.2982 0.0000

Output
- space-group type = No. 107
- formation energy from the elements (eV/atom) = 0.179

DFT (PBE-GGA) results for a geometry-optimized Mg2BeZn structure.

Cell: 4.5188 4.5188 4.5188 Å, 60.00 60.00 60.00°
Fractional positions:
Mg 0.2500 0.2500 0.2500
Mg 0.7500 0.7500 0.7500
Be 0.0000 0.0000 0.0000
Zn 0.5000 0.5000 0.5000

Output
- space-group type = No. 225
- formation energy from the elements (eV/atom) = 0.177

DFT (PBE-GGA) results for a geometry-optimized MgBe2Zn2 structure.

Cell: 7.1405 7.1405 2.6051 Å, 90.00 90.00 90.00°
Fractional positions:
Mg 0.0000 0.0000 0.0000
Mg 0.5000 0.5000 0.0000
Be 0.1709 0.3291 0.5000
Be 0.3291 0.8291 0.5000
Be 0.6709 0.1709 0.5000
Be 0.8291 0.6709 0.5000
Zn 0.1280 0.6280 0.0000
Zn 0.3720 0.1280 0.0000
Zn 0.6280 0.8720 0.0000
Zn 0.8720 0.3720 0.0000

Output
- space-group type = No. 127
- formation energy from the elements (eV/atom) = 0.221

DFT (PBE-GGA) results for a geometry-optimized Mg17BeZn11 structure.

Cell: 8.6358 8.6358 8.6061 Å, 106.51 106.51 106.45°
Fractional positions:
Mg 0.0000 0.0000 0.0000
Mg 0.0045 0.0045 0.3765
Mg 0.0074 0.4181 0.0259
Mg 0.0077 0.6572 0.7860
Mg 0.2976 0.2976 0.0532
Mg 0.3013 0.6857 0.6690
Mg 0.3042 0.3042 0.6740
Mg 0.3767 0.6260 0.9998
Mg 0.4181 0.0074 0.0259
Mg 0.4215 0.6546 0.3733
Mg 0.6260 0.3767 0.9998
Mg 0.6283 0.6283 0.7341
Mg 0.6335 0.9965 0.3707
Mg 0.6546 0.4215 0.3733
Mg 0.6572 0.0077 0.7860
Mg 0.6857 0.3013 0.6690
Mg 0.9965 0.6335 0.3707
Be 0.6985 0.6985 0.2450
Zn 0.1587 0.9666 0.7175
Zn 0.1605 0.3490 0.3374
Zn 0.2110 0.8105 0.1803
Zn 0.3483 0.9667 0.5289
Zn 0.3490 0.1605 0.3374
Zn 0.6881 0.8745 0.0606
Zn 0.8075 0.8075 0.5589
Zn 0.8105 0.2110 0.1803
Zn 0.8745 0.6881 0.0606
Zn 0.9666 0.1587 0.7175
Zn 0.9667 0.3483 0.5289

Output
- space-group type = No. 8
- formation energy from the elements (eV/atom) = -0.043

DFT (PBE-GGA) results for a geometry-optimized Mg2BeZn structure.

Cell: 9.6316 9.6316 9.6316 Å, 155.66 155.66 34.70°
Fractional positions:
Mg 0.1163 0.6250 0.9913
Mg 0.3750 0.3663 0.4913
Mg 0.6337 0.1250 0.0087
Mg 0.8750 0.8837 0.5087
Be 0.0000 0.0000 0.0000
Be 0.7500 0.2500 0.5000
Zn 0.2500 0.7500 0.5000
Zn 0.5000 0.5000 0.0000

Output
- space-group type = No. 122
- formation energy from the elements (eV/atom) = 0.484

DFT (PBE-GGA) results for a geometry-optimized Mg2BeZn structure.

Cell: 4.4924 4.4924 4.4924 Å, 60.00 60.00 60.00°
Fractional positions:
Mg 0.0000 0.0000 0.0000
Mg 0.2500 0.2500 0.2500
Be 0.7500 0.7500 0.7500
Zn 0.5000 0.5000 0.5000

Output
- space-group type = No. 216
- formation energy from the elements (eV/atom) = 0.250

DFT (PBE-GGA) results for a geometry-optimized MgBeZn structure.

Cell: 4.2750 4.2750 4.2750 Å, 60.00 60.00 60.00°
Fractional positions:
Mg 0.0000 0.0000 0.0000
Be 0.2500 0.2500 0.2500
Zn 0.7500 0.7500 0.7500

Output
- space-group type = No. 216
- formation energy from the elements (eV/atom) = 0.666